The following is a DFT calculation (PBE) of crystalline Ca2CdCoPt at its relaxed geometry.

The structure in CIF format:
```
data_Ca2CdCoPt
_chemical_formula_sum 'Ca2 Cd1 Co1 Pt1'
_space_group_name_H-M_alt 'P 4/m m m'
_space_group_IT_number 123
_space_group_name_Hall '-P 4 2'
_cell_length_a 5.422
_cell_length_b 5.422
_cell_length_c 5.190
_cell_angle_alpha 90.00
_cell_angle_beta 90.00
_cell_angle_gamma 90.00
loop_
_atom_site_label
_atom_site_type_symbol
_atom_site_fract_x
_atom_site_fract_y
_atom_site_fract_z
_atom_site_occupancy
Ca1 Ca 0.000 0.500 0.000 1
Cd1 Cd 0.000 0.000 0.500 1
Co1 Co 0.500 0.500 0.500 1
Pt1 Pt 0.000 0.000 0.000 1
```

Results
Size of the total moment   1.956 μB/f.u.
Calculated density   4.86 g cm⁻³
Energy of formation from the pure elements   1.0 eV/f.u.
Crystal system   tetragonal
Electronic total energy   -3.416 eV/atom